# ZrCuF6 | Alexandria | GGA-PBE | relaxed
# DOS at the Fermi energy (states/eV per atom): 0.258
# Total magnetization (Bohr magnetons per cell): 1.000
# Energy (eV for the cell shown): -46.03
# E_form (uncorrected) (eV/atom): -2.77
data_ZrCuF6
_chemical_formula_sum 'Zr1 Cu1 F6'
_space_group_name_H-M_alt 'P -1'
_space_group_IT_number 2
_cell_length_a 5.140
_cell_length_b 5.185
_cell_length_c 5.265
_cell_angle_alpha 99.40
_cell_angle_beta 97.53
_cell_angle_gamma 118.44
loop_
_space_group_symop_operation_xyz
'x,y,z'
'-x,-y,-z'
loop_
_atom_site_label
_atom_site_type_symbol
_atom_site_fract_x
_atom_site_fract_y
_atom_site_fract_z
Zr1 Zr 0.000 0.000 0.000
Cu1 Cu 0.500 0.500 0.500
F1 F 0.119 0.409 0.259
F2 F 0.230 0.231 0.757
F3 F 0.411 0.120 0.251